[1]
Compound: NaCu2Pt
Source: Alexandria
Functional: PBE-GGA
Structure: relaxed

The space group is Fm-3m (No. 225) and the conventional cell measures 6.1913, 6.1913 and 6.1913 Å, with angles of 90.00, 90.00 and 90.00 degrees. The asymmetric unit holds Na at (0.0000, 0.0000, 0.0000), Cu at (0.2500, 0.2500, 0.2500) and Pt at (0.0000, 0.0000, 0.5000).

Its total magnetic moment is 0.0 μB/f.u. As for the total energy: -61.571 eV per cell. The value obtained for the formation energy from the elements is 0.16 eV/f.u. The value obtained for the relative energy among the computed polymorphs is 0.155 eV/f.u.

=====

[2]
Compound: Na2CuPt2
Source: Alexandria
Functional: PBE-GGA
Structure: relaxed

The space group is P4/mbm (No. 127) and the conventional cell measures 8.2588, 8.2588 and 2.6867 Å, with angles of 90.00, 90.00 and 90.00 degrees. The asymmetric unit holds Na at (0.1175, 0.3825, 0.0000), Cu at (0.0000, 0.0000, 0.0000) and Pt at (0.1821, 0.6821, 0.5000).

Its total magnetic moment is 0.0 μB/f.u. As for the total energy: -34.359 eV per cell. The value obtained for the formation energy from the elements is 1.64 eV/f.u. The value obtained for the relative energy among the computed polymorphs is 2.377 eV/f.u.

=====

[3]
Compound: Na2CuPt2
Source: Alexandria
Functional: PBE-GGA
Structure: relaxed

The space group is Immm (No. 71) and the conventional cell measures 4.2391, 5.2257 and 9.1131 Å, with angles of 90.00, 90.00 and 90.00 degrees. The asymmetric unit holds Na at (0.0000, 0.0000, 0.2019), Cu at (0.0000, 0.5000, 0.0000) and Pt at (0.0000, 0.2563, 0.5000).

Its total magnetic moment is 0.0 μB/f.u. As for the total energy: -39.112 eV per cell. The value obtained for the formation energy from the elements is -0.74 eV/f.u. The value obtained for the relative energy among the computed polymorphs is 0.000 eV/f.u.

=====

[4]
Compound: NaCuPt3
Source: Alexandria
Functional: PBE-GGA
Structure: relaxed

The space group is Pm-3m (No. 221) and the conventional cell measures 4.5952, 4.5952 and 4.5952 Å, with angles of 90.00, 90.00 and 90.00 degrees. The asymmetric unit holds Na at (0.0000, 0.0000, 0.0000), Cu at (0.5000, 0.5000, 0.5000) and Pt at (0.0000, 0.0000, 0.5000).

Its total magnetic moment is 0.0 μB/f.u. As for the total energy: -15.741 eV per cell. The value obtained for the formation energy from the elements is 7.80 eV/f.u. The value obtained for the relative energy among the computed polymorphs is 4.686 eV/f.u.